Entry from Alexandria via LeMat-Bulk: a relaxed structure of TiNbP2 (GGA-PBEsol).

Spin magnetization   0.0 μB/f.u.
SG   No. 122
Crystal system   tetragonal
ΔE_f   -0.208 eV per atom

Unit cell a=6.749 b=6.749 c=6.749 alpha=131.81 beta=131.81 gamma=70.52
Atoms (fractional coordinates):
Ti 0.000 0.000 0.000
Ti 0.750 0.250 0.500
Nb 0.250 0.750 0.500
Nb 0.500 0.500 0.000
P 0.120 0.625 0.995
P 0.375 0.370 0.495
P 0.630 0.125 0.005
P 0.875 0.880 0.505